(1)
Computed, not measured: crystalline DyP3 at its relaxed geometry at the PBE level of DFT.

Computed properties:
- crystal system = tetragonal

```
DyP3
1.0
3.858 0.000 0.000
0.000 3.858 0.000
0.000 0.000 9.572
Dy P
2 6
Direct
0.000 0.000 0.000
0.500 0.500 0.500
0.000 0.000 0.500
0.000 0.500 0.250
0.000 0.500 0.750
0.500 0.000 0.250
0.500 0.000 0.750
0.500 0.500 0.000
```

***

(2)
Computed, not measured: crystalline ZrTaCuOs at its relaxed geometry at the PBE level of DFT.

Computed properties:
- crystal system = cubic

```
ZrTaCuOs
1.0
6.377 0.000 0.000
0.000 6.377 0.000
0.000 0.000 6.377
Zr Ta Cu Os
4 4 4 4
Direct
0.000 0.000 0.000
0.000 0.500 0.500
0.500 0.000 0.500
0.500 0.500 0.000
0.250 0.250 0.750
0.250 0.750 0.250
0.750 0.250 0.250
0.750 0.750 0.750
0.250 0.250 0.250
0.250 0.750 0.750
0.750 0.250 0.750
0.750 0.750 0.250
0.000 0.000 0.500
0.000 0.500 0.000
0.500 0.000 0.000
0.500 0.500 0.500
```

***

(3)
Computed, not measured: crystalline GdY2Cd3Ga2Au at its relaxed geometry at the PBE level of DFT.

Computed properties:
- crystal system = orthorhombic

```
GdY2Cd3Ga2Au
1.0
4.360 0.000 0.000
0.000 6.382 3.683
0.000 -6.382 3.683
Gd Y Cd Ga Au
1 2 3 2 1
Direct
0.000 0.000 0.000
0.000 0.412 0.825
0.000 0.825 0.412
0.500 0.159 0.412
0.500 0.412 0.159
0.500 0.666 0.666
0.500 0.079 0.746
0.500 0.746 0.079
0.000 0.413 0.413
```

***

(4)
Computed, not measured: crystalline GaCuTcOs at its relaxed geometry at the PBE level of DFT.

Computed properties:
- crystal system = cubic

```
GaCuTcOs
1.0
6.066 0.000 0.000
0.000 6.066 0.000
0.000 0.000 6.066
Ga Cu Tc Os
4 4 4 4
Direct
0.000 0.000 0.000
0.000 0.500 0.500
0.500 0.000 0.500
0.500 0.500 0.000
0.250 0.250 0.250
0.250 0.750 0.750
0.750 0.250 0.750
0.750 0.750 0.250
0.000 0.000 0.500
0.000 0.500 0.000
0.500 0.000 0.000
0.500 0.500 0.500
0.250 0.250 0.750
0.250 0.750 0.250
0.750 0.250 0.250
0.750 0.750 0.750
```

***

(5)
Computed, not measured: crystalline LuZrCd at its relaxed geometry at the PBE level of DFT.

Computed properties:
- crystal system = cubic

```
LuZrCd
1.0
6.909 0.000 0.000
0.000 6.909 0.000
0.000 0.000 6.909
Lu Zr Cd
4 4 4
Direct
0.000 0.000 0.000
0.000 0.500 0.500
0.500 0.000 0.500
0.500 0.500 0.000
0.000 0.000 0.500
0.000 0.500 0.000
0.500 0.000 0.000
0.500 0.500 0.500
0.250 0.250 0.250
0.250 0.750 0.750
0.750 0.250 0.750
0.750 0.750 0.250
```

***

(6)
Computed, not measured: crystalline GdIrNO at its relaxed geometry at the PBE level of DFT.

Computed properties:
- crystal system = orthorhombic

```
GdIrNO
1.0
3.732 0.000 0.000
0.000 5.500 0.000
0.000 0.000 5.136
Gd Ir N O
2 2 2 2
Direct
0.000 0.198 0.000
0.000 0.802 0.500
0.500 0.360 0.495
0.500 0.640 0.995
0.000 0.339 0.489
0.000 0.661 0.989
0.500 0.026 0.750
0.500 0.974 0.250
```

***

(7)
Computed, not measured: crystalline LuCuAsAu at its relaxed geometry at the PBE level of DFT.

Computed properties:
- crystal system = cubic

```
LuCuAsAu
1.0
6.696 0.000 0.000
0.000 6.696 0.000
0.000 0.000 6.696
Lu Cu As Au
4 4 4 4
Direct
0.000 0.000 0.000
0.000 0.500 0.500
0.500 0.000 0.500
0.500 0.500 0.000
0.250 0.250 0.750
0.250 0.750 0.250
0.750 0.250 0.250
0.750 0.750 0.750
0.000 0.000 0.500
0.000 0.500 0.000
0.500 0.000 0.000
0.500 0.500 0.500
0.250 0.250 0.250
0.250 0.750 0.750
0.750 0.250 0.750
0.750 0.750 0.250
```

***

(8)
Computed, not measured: crystalline NdPPdO at its relaxed geometry at the PBE level of DFT.

Computed properties:
- crystal system = tetragonal

```
NdPPdO
1.0
4.137 0.000 0.000
0.000 4.137 0.000
0.000 0.000 8.032
Nd P Pd O
2 2 2 2
Direct
0.250 0.250 0.141
0.750 0.750 0.859
0.250 0.250 0.653
0.750 0.750 0.347
0.250 0.750 0.500
0.750 0.250 0.500
0.250 0.750 0.000
0.750 0.250 0.000
```

***

Short version: E = -5.547 -8.874 -3.882 -6.943 -4.268 -7.878 -4.374 -6.928 eV/atom, in the order given.
Short version: magnetization = 0.0 0.0 0.0 0.0 4.3 0.0 0.0 0.0 Bohr magnetons per cell, in the order given.